No. 1
First-principles (GGA-PBE) data for a geometry-optimized Yb3W structure, as listed in Alexandria.

Properties
offset from the most stable computed form = 0.0 kJ/mol of atoms
density of states at the Fermi level = 8.638 states/eV/cell
ΔH_f (0 K) = 0.561 eV/atom
crystal system = hexagonal
total moment = 1.811 μB/f.u.
E_tot = -3.82 eV/atom

abc: 6.7574 6.7574 5.2371
angles: 90.00 90.00 120.00
Last column: magnetic moment on the atom in μB.
Atoms (fractional coordinates):
Yb  0.1766  0.3531  0.2500  0.12
Yb  0.8234  0.1766  0.7500  0.12
Yb  0.1766  0.8234  0.2500  0.12
Yb  0.6469  0.8234  0.2500  0.12
Yb  0.8234  0.6469  0.7500  0.12
Yb  0.3531  0.1766  0.7500  0.12
W  0.6667  0.3333  0.2500  1.11
W  0.3333  0.6667  0.7500  1.11

No. 2
First-principles (GGA-PBE) data for a geometry-optimized Yb3W structure, as listed in Alexandria.

Properties
offset from the most stable computed form = 2.7 kJ/mol of atoms
density of states at the Fermi level = 3.638 states/eV/cell
ΔH_f (0 K) = 0.589 eV/atom
crystal system = cubic
total moment = 2.177 μB/f.u.
E_tot = -3.79 eV/atom

abc: 5.2649 5.2649 5.2649
angles: 60.00 60.00 60.00
Last column: magnetic moment on the atom in μB.
Atoms (fractional coordinates):
Yb  0.5000  0.5000  0.5000  0.01
Yb  0.2500  0.2500  0.2500  0.12
Yb  0.7500  0.7500  0.7500  0.12
W  0.0000  0.0000  0.0000  1.45

No. 3
First-principles (GGA-PBE) data for a geometry-optimized Zn2W3 structure, as listed in Alexandria.

Properties
offset from the most stable computed form = 61.6 kJ/mol of atoms
density of states at the Fermi level = 4.075 states/eV/cell
ΔH_f (0 K) = 1.007 eV/atom
crystal system = trigonal
total moment = 0.000 μB/f.u.
E_tot = -7.27 eV/atom

abc: 4.2265 4.2265 5.2799
angles: 90.00 90.00 120.00
Atoms (fractional coordinates):
W  0.0000  0.0000  0.0000
W  0.3333  0.6667  0.3527
W  0.6667  0.3333  0.6473
Zn  0.3333  0.6667  0.8362
Zn  0.6667  0.3333  0.1638

No. 4
First-principles (GGA-PBE) data for a geometry-optimized ZnW7 structure, as listed in Alexandria.

Properties
density of states at the Fermi level = 5.847 states/eV/cell
ΔH_f (0 K) = 0.378 eV/atom
crystal system = cubic
total moment = 0.000 μB/f.u.
E_tot = -11.12 eV/atom

abc: 5.6686 5.6686 5.6686
angles: 60.00 60.00 60.00
Atoms (fractional coordinates):
W  0.0000  0.0000  0.5000
W  0.5000  0.5000  0.0000
W  0.5000  0.0000  0.0000
W  0.0000  0.5000  0.0000
W  0.5000  0.5000  0.5000
W  0.0000  0.5000  0.5000
W  0.5000  0.0000  0.5000
Zn  0.0000  0.0000  0.0000

No. 5
First-principles (GGA-PBE) data for a geometry-optimized Zn3W5 structure, as listed in Alexandria.

Properties
density of states at the Fermi level = 3.880 states/eV/cell
ΔH_f (0 K) = 0.271 eV/atom
crystal system = orthorhombic
total moment = 0.000 μB/f.u.
E_tot = -8.30 eV/atom

abc: 6.0837 6.0837 3.3360
angles: 90.00 90.00 90.69
Atoms (fractional coordinates):
W  0.2476  0.7524  0.5000
W  0.0000  0.5000  0.0000
W  0.0000  0.0000  0.0000
W  0.5000  0.0000  0.0000
W  0.7524  0.2476  0.5000
Zn  0.7409  0.7409  0.5000
Zn  0.5000  0.5000  0.0000
Zn  0.2591  0.2591  0.5000

No. 6
First-principles (GGA-PBE) data for a geometry-optimized ZnW2 structure, as listed in Alexandria.

Properties
offset from the most stable computed form = 16.8 kJ/mol of atoms
density of states at the Fermi level = 3.579 states/eV/cell
ΔH_f (0 K) = 0.362 eV/atom
crystal system = orthorhombic
total moment = 0.000 μB/f.u.
E_tot = -8.70 eV/atom

abc: 7.7799 7.7799 4.7320
angles: 90.00 90.00 160.51
Atoms (fractional coordinates):
W  0.9481  0.0519  0.7500
W  0.0519  0.9481  0.2500
W  0.6168  0.3832  0.7500
W  0.3832  0.6168  0.2500
Zn  0.2803  0.7197  0.7500
Zn  0.7197  0.2803  0.2500

No. 7
First-principles (GGA-PBE) data for a geometry-optimized Zn2W3 structure, as listed in Alexandria.

Properties
offset from the most stable computed form = 6.0 kJ/mol of atoms
density of states at the Fermi level = 5.882 states/eV/cell
ΔH_f (0 K) = 0.430 eV/atom
crystal system = orthorhombic
total moment = 0.000 μB/f.u.
E_tot = -7.85 eV/atom

abc: 8.2185 7.1575 5.3123
angles: 80.99 59.33 39.67
Atoms (fractional coordinates):
W  0.7435  0.4598  0.3369
W  0.3051  0.1949  0.1949
W  0.7902  0.5065  0.7902
W  0.0551  0.9449  0.9449
W  0.9131  0.7902  0.5065
W  0.4598  0.3369  0.4598
Zn  0.3507  0.0528  0.7055
Zn  0.8910  0.7055  0.0528
Zn  0.5445  0.3590  0.8993
Zn  0.1972  0.8993  0.3590

No. 8
First-principles (GGA-PBE) data for a geometry-optimized Zn4W5 structure, as listed in Alexandria.

Properties
offset from the most stable computed form = 0.0 kJ/mol of atoms
density of states at the Fermi level = 3.153 states/eV/cell
ΔH_f (0 K) = 0.232 eV/atom
crystal system = tetragonal
total moment = 0.000 μB/f.u.
E_tot = -7.53 eV/atom

abc: 6.5855 6.5855 6.5855
angles: 93.82 93.82 150.08
Atoms (fractional coordinates):
W  0.3307  0.6693  0.0000
W  0.0000  0.0000  0.0000
W  0.6693  0.6693  0.3386
W  0.6693  0.3307  0.0000
W  0.3307  0.3307  0.6614
Zn  0.6648  0.0000  0.6648
Zn  0.0000  0.3352  0.3352
Zn  0.3352  0.0000  0.3352
Zn  0.0000  0.6648  0.6648

No. 9
First-principles (GGA-PBE) data for a geometry-optimized Zn3W structure, as listed in Alexandria.

Properties
density of states at the Fermi level = 0.549 states/eV/cell
ΔH_f (0 K) = 0.141 eV/atom
crystal system = orthorhombic
total moment = 0.000 μB/f.u.
E_tot = -4.05 eV/atom

abc: 4.8578 4.8578 2.7333
angles: 90.00 90.00 112.21
Atoms (fractional coordinates):
Zn  0.5000  0.5000  0.0000
Zn  0.0000  0.5000  0.5000
Zn  0.5000  0.0000  0.5000
W  0.0000  0.0000  0.0000

No. 10
First-principles (GGA-PBE) data for a geometry-optimized Zn3W structure, as listed in Alexandria.

Properties
density of states at the Fermi level = 1.228 states/eV/cell
ΔH_f (0 K) = 0.166 eV/atom
crystal system = orthorhombic
total moment = 0.000 μB/f.u.
E_tot = -4.03 eV/atom

abc: 2.6947 2.6947 8.4578
angles: 90.00 90.00 101.81
Atoms (fractional coordinates):
Zn  0.5000  0.5000  0.7484
Zn  0.5000  0.5000  0.2516
Zn  0.0000  0.0000  0.5000
W  0.0000  0.0000  0.0000

No. 11
First-principles (GGA-PBE) data for a geometry-optimized ZnW2 structure, as listed in Alexandria.

Properties
offset from the most stable computed form = 8.0 kJ/mol of atoms
density of states at the Fermi level = 4.525 states/eV/cell
ΔH_f (0 K) = 0.271 eV/atom
crystal system = tetragonal
total moment = 0.000 μB/f.u.
E_tot = -8.79 eV/atom

abc: 4.3519 4.3519 10.3180
angles: 102.17 102.17 90.00
Atoms (fractional coordinates):
Zn  0.1644  0.6644  0.3289
Zn  0.9144  0.9144  0.8289
Zn  0.3356  0.8356  0.6711
Zn  0.0856  0.0856  0.1711
W  0.8308  0.3308  0.6616
W  0.5012  0.0012  0.0023
W  0.6692  0.1692  0.3384
W  0.7488  0.7488  0.4977
W  0.9988  0.4988  0.9977
W  0.5808  0.5808  0.1616
W  0.2512  0.2512  0.5023
W  0.4192  0.4192  0.8384

No. 12
First-principles (GGA-PBE) data for a geometry-optimized ZnW2 structure, as listed in Alexandria.

Properties
offset from the most stable computed form = 21.1 kJ/mol of atoms
density of states at the Fermi level = 3.637 states/eV/cell
ΔH_f (0 K) = 0.406 eV/atom
crystal system = monoclinic
total moment = 0.000 μB/f.u.
E_tot = -8.65 eV/atom

abc: 5.5596 5.5596 6.7660
angles: 76.18 76.18 27.82
Atoms (fractional coordinates):
W  0.1260  0.1260  0.4856
W  0.8740  0.8740  0.5144
W  0.8000  0.8000  0.1590
W  0.2000  0.2000  0.8410
Zn  0.5340  0.5340  0.1778
Zn  0.4660  0.4660  0.8222

No. 13
First-principles (GGA-PBE) data for a geometry-optimized Zn3W structure, as listed in Alexandria.

Properties
density of states at the Fermi level = 2.541 states/eV/cell
ΔH_f (0 K) = 0.359 eV/atom
crystal system = tetragonal
total moment = 0.000 μB/f.u.
E_tot = -3.84 eV/atom

abc: 3.7327 5.0157 3.7327
angles: 68.15 90.00 111.85
Atoms (fractional coordinates):
W  0.0000  0.0000  0.0000
Zn  0.7500  0.5000  0.7500
Zn  0.5000  0.0000  0.5000
Zn  0.2500  0.5000  0.2500

No. 14
First-principles (GGA-PBE) data for a geometry-optimized Zn3W structure, as listed in Alexandria.

Properties
density of states at the Fermi level = 3.171 states/eV/cell
ΔH_f (0 K) = 0.212 eV/atom
crystal system = orthorhombic
total moment = 0.000 μB/f.u.
E_tot = -3.98 eV/atom

abc: 5.4181 5.4181 4.2355
angles: 90.00 90.00 104.28
Atoms (fractional coordinates):
Zn  0.9154  0.6826  0.7500
Zn  0.6826  0.9154  0.2500
Zn  0.3174  0.0846  0.7500
Zn  0.0846  0.3174  0.2500
Zn  0.1906  0.8094  0.2500
Zn  0.8094  0.1906  0.7500
W  0.5890  0.4110  0.2500
W  0.4110  0.5890  0.7500